No. 1
Material: BeIn3Sb
Method: DFT, PBE
State: relaxed

Structure (CIF):
```
data_BeIn3Sb
_chemical_formula_sum 'Be1 In3 Sb1'
_symmetry_space_group_name_H-M 'P m -3 m'
_symmetry_Int_Tables_number 221
_symmetry_space_group_name_Hall '-P 4 2 3'
_cell_length_a 4.9947
_cell_length_b 4.9947
_cell_length_c 4.9947
_cell_angle_alpha 90.00
_cell_angle_beta 90.00
_cell_angle_gamma 90.00
loop_
_atom_site_label
_atom_site_fract_x
_atom_site_fract_y
_atom_site_fract_z
Be1 0.0000 0.0000 0.0000
In1 0.0000 0.0000 0.5000
Sb1 0.5000 0.5000 0.5000
```

Results
uncorrected formation energy: 0.269 eV per atom
E_tot: -0.1082 hartree per atom
size of the total moment: 0.000 μB/atom
theoretical density: 6333 kg/m3

=====

No. 2
Material: Cr3PtSe
Method: DFT, PBE
State: relaxed

Structure (CIF):
```
data_Cr3PtSe
_chemical_formula_sum 'Cr3 Pt1 Se1'
_symmetry_space_group_name_H-M 'P m -3 m'
_symmetry_Int_Tables_number 221
_symmetry_space_group_name_Hall '-P 4 2 3'
_cell_length_a 4.8880
_cell_length_b 4.8880
_cell_length_c 4.8880
_cell_angle_alpha 90.00
_cell_angle_beta 90.00
_cell_angle_gamma 90.00
loop_
_atom_site_label
_atom_site_fract_x
_atom_site_fract_y
_atom_site_fract_z
Cr1 0.0000 0.0000 0.5000
Pt1 0.0000 0.0000 0.0000
Se1 0.5000 0.5000 0.5000
```

Results
uncorrected formation energy: 0.975 eV per atom
E_tot: -0.2464 hartree per atom
size of the total moment: 2.496 μB/atom
theoretical density: 6114 kg/m3

=====

No. 3
Material: Zr3CdH
Method: DFT, PBE
State: relaxed

Structure (CIF):
```
data_Zr3CdH
_chemical_formula_sum 'Zr6 Cd2 H2'
_symmetry_space_group_name_H-M 'P 1 21/m 1'
_symmetry_Int_Tables_number 11
_symmetry_space_group_name_Hall '-P 2yb'
_cell_length_a 5.2933
_cell_length_b 5.9179
_cell_length_c 6.0509
_cell_angle_alpha 90.00
_cell_angle_beta 100.47
_cell_angle_gamma 90.00
loop_
_atom_site_label
_atom_site_fract_x
_atom_site_fract_y
_atom_site_fract_z
Zr1 0.0259 0.2500 0.1128
Zr2 0.4523 0.0010 0.7480
Cd1 0.0687 0.7500 0.3883
H1 0.3883 0.7500 0.9835
```

Results
E_tot: -0.2230 hartree per atom
size of the total moment: 0.000 μB/atom
theoretical density: 6897 kg/m3

=====

No. 4
Material: PmSm2ErS4
Method: DFT, PBE
State: relaxed

Structure (CIF):
```
data_PmSm2ErS4
_chemical_formula_sum 'Pm1 Sm2 Er1 S4'
_symmetry_space_group_name_H-M 'P 1 2/m 1'
_symmetry_Int_Tables_number 10
_symmetry_space_group_name_Hall '-P 2y'
_cell_length_a 6.9107
_cell_length_b 3.9385
_cell_length_c 6.9300
_cell_angle_alpha 90.00
_cell_angle_beta 108.95
_cell_angle_gamma 90.00
loop_
_atom_site_label
_atom_site_fract_x
_atom_site_fract_y
_atom_site_fract_z
Pm1 0.0000 0.0000 0.0000
Sm1 0.5000 0.0000 0.5000
Sm2 0.5000 0.5000 0.0000
Er1 0.0000 0.5000 0.5000
S1 0.2408 0.0000 0.7393
S2 0.2465 0.5000 0.2566
```

Results
uncorrected formation energy: -2.004 eV per atom
E_tot: -0.2356 hartree per atom
size of the total moment: 0.000 μB/atom
theoretical density: 6900 kg/m3

=====

No. 5
Material: LaAlPt3
Method: DFT, PBE
State: relaxed

Structure (CIF):
```
data_LaAlPt3
_chemical_formula_sum 'La1 Al1 Pt3'
_symmetry_space_group_name_H-M 'P m -3 m'
_symmetry_Int_Tables_number 221
_symmetry_space_group_name_Hall '-P 4 2 3'
_cell_length_a 5.2339
_cell_length_b 5.2339
_cell_length_c 5.2339
_cell_angle_alpha 90.00
_cell_angle_beta 90.00
_cell_angle_gamma 90.00
loop_
_atom_site_label
_atom_site_fract_x
_atom_site_fract_y
_atom_site_fract_z
La1 0.0000 0.0000 0.0000
Al1 0.5000 0.5000 0.5000
Pt1 0.0000 0.0000 0.5000
```

Results
E_tot: -0.1638 hartree per atom
size of the total moment: 0.000 μB/atom
formation energy: 0.900 eV per atom
theoretical density: 8700 kg/m3

=====

No. 6
Material: MnGa3Ru4
Method: DFT, PBE
State: relaxed

Structure (CIF):
```
data_MnGa3Ru4
_chemical_formula_sum 'Mn2 Ga6 Ru8'
_symmetry_space_group_name_H-M 'I 4/m m m'
_symmetry_Int_Tables_number 139
_symmetry_space_group_name_Hall '-I 4 2'
_cell_length_a 4.2613
_cell_length_b 4.2613
_cell_length_c 12.0734
_cell_angle_alpha 90.00
_cell_angle_beta 90.00
_cell_angle_gamma 90.00
loop_
_atom_site_label
_atom_site_fract_x
_atom_site_fract_y
_atom_site_fract_z
Mn1 0.0000 0.0000 0.0000
Ga1 0.0000 0.0000 0.2492
Ga2 0.0000 0.0000 0.5000
Ru1 0.0000 0.5000 0.1246
```

Results
E_tot: -0.2647 hartree per atom
size of the total moment: 0.276 μB/atom
formation energy: -0.283 eV per atom
theoretical density: 10125 kg/m3

=====

Please write out number 2 again, unchanged.
Material: Cr3PtSe
Method: DFT, PBE
State: relaxed

Structure (CIF):
```
data_Cr3PtSe
_chemical_formula_sum 'Cr3 Pt1 Se1'
_symmetry_space_group_name_H-M 'P m -3 m'
_symmetry_Int_Tables_number 221
_symmetry_space_group_name_Hall '-P 4 2 3'
_cell_length_a 4.8880
_cell_length_b 4.8880
_cell_length_c 4.8880
_cell_angle_alpha 90.00
_cell_angle_beta 90.00
_cell_angle_gamma 90.00
loop_
_atom_site_label
_atom_site_fract_x
_atom_site_fract_y
_atom_site_fract_z
Cr1 0.0000 0.0000 0.5000
Pt1 0.0000 0.0000 0.0000
Se1 0.5000 0.5000 0.5000
```

Results
uncorrected formation energy: 0.975 eV per atom
E_tot: -0.2464 hartree per atom
size of the total moment: 2.496 μB/atom
theoretical density: 6114 kg/m3

=====

> Which formula does entry 5 have?

LaAlPt3